No. 1
This record from Alexandria via LeMat-Bulk describes a geometry-optimized CeHoHg structure. The functional is GGA-PBE.

Cell and atoms, written as extended XYZ:
```
6
Lattice="5.385 0.000 0.000 -2.693 4.664 0.000 0.000 0.000 6.520" Properties=species:S:1:pos:R:3 pbc="T T T"
Ce 0.000 0.000 0.000
Ce 0.000 0.000 3.260
Ho 0.000 3.109 1.630
Ho 2.693 1.555 4.890
Hg 0.000 3.109 4.890
Hg 2.693 1.555 1.630
```

Calculated values
Symmetry: No. 194
N(E_F), states/eV/f.u.: 5.72
ΔH_f (0 K), meV/atom: -207.9

***

No. 2
This record from Alexandria via LeMat-Bulk describes a geometry-optimized Ce2Ho2Hg7 structure. The functional is GGA-PBE.

Cell and atoms, written as extended XYZ:
```
11
Lattice="4.248 -5.370 0.000 4.248 5.370 0.000 0.000 0.000 7.516" Properties=species:S:1:pos:R:3 pbc="T T T"
Ce 4.248 3.192 0.000
Ce 4.248 -3.192 0.000
Ho 2.557 0.000 3.758
Ho 5.939 0.000 3.758
Hg 0.000 0.000 2.204
Hg 0.000 0.000 5.312
Hg 2.124 2.685 2.256
Hg 2.124 2.685 5.260
Hg 2.124 -2.685 2.256
Hg 2.124 -2.685 5.260
Hg 4.248 0.000 0.000
```

Calculated values
Symmetry: No. 65
N(E_F), states/eV/f.u.: 23.14
ΔH_f (0 K), meV/atom: -4.7

***

No. 3
This record from Alexandria via LeMat-Bulk describes a geometry-optimized Ce2HoHg structure. The functional is GGA-PBE.

Cell and atoms, written as extended XYZ:
```
4
Lattice="3.400 0.000 0.000 0.000 3.400 0.000 0.000 0.000 9.928" Properties=species:S:1:pos:R:3 pbc="T T T"
Ce 0.000 0.000 2.305
Ce 0.000 0.000 7.622
Ho 1.700 1.700 4.964
Hg 1.700 1.700 0.000
```

Calculated values
Symmetry: No. 123
N(E_F), states/eV/f.u.: 11.77
ΔH_f (0 K), meV/atom: -54.9

***

No. 4
This record from Alexandria via LeMat-Bulk describes a geometry-optimized CeHo2In2Hg2 structure. The functional is GGA-PBE.

Cell and atoms, written as extended XYZ:
```
7
Lattice="2.489 1.437 8.884 -2.489 1.437 8.884 0.000 -2.874 8.884" Properties=species:S:1:pos:R:3 pbc="T T T"
Ce 0.000 0.000 0.000
Ho 0.000 0.000 3.513
Ho 0.000 0.000 23.139
In 0.000 0.000 7.080
In 0.000 0.000 19.572
Hg 0.000 0.000 11.464
Hg 0.000 0.000 15.187
```

Calculated values
Symmetry: No. 166
N(E_F), states/eV/f.u.: 10.39
ΔH_f (0 K), meV/atom: -245.4

***

No. 5
This record from Alexandria via LeMat-Bulk describes a geometry-optimized CeHoHgIr structure. The functional is GGA-PBE.

Cell and atoms, written as extended XYZ:
```
12
Lattice="4.076 0.000 0.000 -2.038 3.530 0.000 0.000 0.000 22.489" Properties=species:S:1:pos:R:3 pbc="T T T"
Ce 0.000 0.000 0.000
Ce 0.000 2.353 14.993
Ce 2.038 1.177 7.496
Ho 0.000 0.000 17.989
Ho 0.000 2.353 10.493
Ho 2.038 1.177 2.996
Hg 0.000 0.000 12.672
Hg 0.000 2.353 5.176
Hg 2.038 1.177 20.169
Ir 0.000 0.000 8.977
Ir 0.000 2.353 1.481
Ir 2.038 1.177 16.474
```

Calculated values
Symmetry: No. 160
N(E_F), states/eV/f.u.: 5.82
ΔH_f (0 K), meV/atom: -592.6

***

No. 6
This record from Alexandria via LeMat-Bulk describes a geometry-optimized CeHoHgIr structure. The functional is GGA-PBE.

Cell and atoms, written as extended XYZ:
```
16
Lattice="7.207 0.000 0.000 0.000 7.207 0.000 0.000 0.000 7.207" Properties=species:S:1:pos:R:3 pbc="T T T"
Ce 0.000 0.000 0.000
Ce 0.000 3.604 3.604
Ce 3.604 0.000 3.604
Ce 3.604 3.604 0.000
Ho 0.000 0.000 3.604
Ho 0.000 3.604 0.000
Ho 3.604 0.000 0.000
Ho 3.604 3.604 3.604
Hg 1.802 1.802 1.802
Hg 1.802 5.405 5.405
Hg 5.405 1.802 5.405
Hg 5.405 5.405 1.802
Ir 1.802 1.802 5.405
Ir 1.802 5.405 1.802
Ir 5.405 1.802 1.802
Ir 5.405 5.405 5.405
```

Calculated values
Symmetry: No. 216
N(E_F), states/eV/f.u.: 6.31
ΔH_f (0 K), meV/atom: -506.5

***

No. 7
This record from Alexandria via LeMat-Bulk describes a geometry-optimized LaCeHoHg structure. The functional is GGA-PBE.

Cell and atoms, written as extended XYZ:
```
16
Lattice="7.689 0.000 0.000 0.000 7.689 0.000 0.000 0.000 7.689" Properties=species:S:1:pos:R:3 pbc="T T T"
La 0.000 0.000 0.000
La 0.000 3.845 3.845
La 3.845 0.000 3.845
La 3.845 3.845 0.000
Ce 1.922 1.922 1.922
Ce 1.922 5.767 5.767
Ce 5.767 1.922 5.767
Ce 5.767 5.767 1.922
Ho 0.000 0.000 3.845
Ho 0.000 3.845 0.000
Ho 3.845 0.000 0.000
Ho 3.845 3.845 3.845
Hg 1.922 1.922 5.767
Hg 1.922 5.767 1.922
Hg 5.767 1.922 1.922
Hg 5.767 5.767 5.767
```

Calculated values
Symmetry: No. 216
N(E_F), states/eV/f.u.: 8.62
ΔH_f (0 K), meV/atom: -11.2

***

No. 8
This record from Alexandria via LeMat-Bulk describes a geometry-optimized Li2CeHoHg4 structure. The functional is GGA-PBE.

Cell and atoms, written as extended XYZ:
```
8
Lattice="2.539 1.466 8.311 -2.539 1.466 8.311 0.000 -2.932 8.311" Properties=species:S:1:pos:R:3 pbc="T T T"
Li 0.000 0.000 6.196
Li 0.000 0.000 18.738
Ce 0.000 0.000 0.000
Ho 0.000 0.000 12.467
Hg 0.000 0.000 3.177
Hg 0.000 0.000 9.419
Hg 0.000 0.000 15.515
Hg 0.000 0.000 21.757
```

Calculated values
Symmetry: No. 166
N(E_F), states/eV/f.u.: 11.30
ΔH_f (0 K), meV/atom: -389.6

***

No. 9
This record from Alexandria via LeMat-Bulk describes a geometry-optimized LiCeHo2Hg4 structure. The functional is GGA-PBE.

Cell and atoms, written as extended XYZ:
```
8
Lattice="2.566 1.482 8.761 -2.566 1.482 8.761 0.000 -2.963 8.761" Properties=species:S:1:pos:R:3 pbc="T T T"
Li 0.000 0.000 0.000
Ce 0.000 0.000 13.142
Ho 0.000 0.000 6.726
Ho 0.000 0.000 19.558
Hg 0.000 0.000 3.066
Hg 0.000 0.000 9.797
Hg 0.000 0.000 16.487
Hg 0.000 0.000 23.218
```

Calculated values
Symmetry: No. 166
N(E_F), states/eV/f.u.: 10.91
ΔH_f (0 K), meV/atom: -392.8

***

No. 10
This record from Alexandria via LeMat-Bulk describes a geometry-optimized CeHoMg2Hg4 structure. The functional is GGA-PBE.

Cell and atoms, written as extended XYZ:
```
8
Lattice="2.556 1.476 8.412 -2.556 1.476 8.412 0.000 -2.952 8.412" Properties=species:S:1:pos:R:3 pbc="T T T"
Ce 0.000 0.000 0.000
Ho 0.000 0.000 12.618
Mg 0.000 0.000 6.294
Mg 0.000 0.000 18.941
Hg 0.000 0.000 3.214
Hg 0.000 0.000 9.543
Hg 0.000 0.000 15.692
Hg 0.000 0.000 22.022
```

Calculated values
Symmetry: No. 166
N(E_F), states/eV/f.u.: 8.32
ΔH_f (0 K), meV/atom: -417.1

***

No. 11
This record from Alexandria via LeMat-Bulk describes a geometry-optimized CeHo2MgHg4 structure. The functional is GGA-PBE.

Cell and atoms, written as extended XYZ:
```
8
Lattice="2.564 1.481 8.881 -2.564 1.481 8.881 0.000 -2.961 8.881" Properties=species:S:1:pos:R:3 pbc="T T T"
Ce 0.000 0.000 0.000
Ho 0.000 0.000 6.485
Ho 0.000 0.000 20.159
Mg 0.000 0.000 13.322
Hg 0.000 0.000 3.369
Hg 0.000 0.000 10.136
Hg 0.000 0.000 16.508
Hg 0.000 0.000 23.275
```

Calculated values
Symmetry: No. 166
N(E_F), states/eV/f.u.: 10.80
ΔH_f (0 K), meV/atom: -390.1

***

No. 12
This record from Alexandria via LeMat-Bulk describes a geometry-optimized CeHo2HgN structure. The functional is GGA-PBE.

Cell and atoms, written as extended XYZ:
```
5
Lattice="4.813 0.000 0.000 0.000 4.813 0.000 0.000 0.000 4.832" Properties=species:S:1:pos:R:3 pbc="T T T"
Ce 0.000 0.000 0.000
Ho 0.000 2.406 2.416
Ho 2.406 0.000 2.416
Hg 2.406 2.406 0.000
N 0.000 0.000 2.416
```

Calculated values
Uncorrected formation energy, meV per atom: -833
Symmetry: No. 123
N(E_F), states/eV/f.u.: 6.56

***

No. 13
This record from Alexandria via LeMat-Bulk describes a geometry-optimized CeNdHo2Hg4 structure. The functional is GGA-PBE.

Cell and atoms, written as extended XYZ:
```
8
Lattice="2.671 1.542 8.720 -2.671 1.542 8.720 0.000 -3.084 8.720" Properties=species:S:1:pos:R:3 pbc="T T T"
Ce 0.000 0.000 0.000
Nd 0.000 0.000 13.080
Ho 0.000 0.000 6.559
Ho 0.000 0.000 19.602
Hg 0.000 0.000 3.267
Hg 0.000 0.000 9.811
Hg 0.000 0.000 16.350
Hg 0.000 0.000 22.894
```

Calculated values
Symmetry: No. 166
N(E_F), states/eV/f.u.: 15.53
ΔH_f (0 K), meV/atom: -417.2